{
  "formula": "TlH2PtW",
  "functional": "PBE-GGA",
  "state": "optimized geometry",
  "lattice_angstrom": [[-3.290, 0.682, 1.510], [-2.770, -2.146, -5.067], [-0.035, -3.385, 1.453]],
  "species": ["Pt", "H", "H", "Tl", "W"],
  "frac_coords": [[0.000, 0.500, 0.000], [0.500, 0.000, 0.000], [0.000, 0.000, 0.500], [0.000, 0.000, 0.000], [0.500, 0.500, 0.500]],
  "final_energy_ev_per_atom": -4.570,
  "crystal_system": "tetragonal",
  "magnetic_moment_mub_per_atom": 0.322
}